(1)
Here is a relaxed NaCoSn crystal from the Open Quantum Materials Database. Energies are from PBE-GGA.

Calculated values
- Total moment: 0.35 Bohr magnetons per cell

a = 6.2314 Å, b = 6.2314 Å, c = 6.2314 Å
α = 90.00°, β = 90.00°, γ = 90.00°
With the nearest neighbours (Å) after each atom.
Space group F-43m (No. 216)
Inequivalent atoms, fractional coordinates:
Na 0.0000 0.0000 0.0000 x4  4 Co 2.70
Co 0.2500 0.2500 0.2500 x4  4 Na 2.70, 4 Sn 2.70
Sn 0.0000 0.0000 0.5000 x4  4 Co 2.70

(2)
Here is a relaxed Nb3TlB3 crystal from the Open Quantum Materials Database. Energies are from PBE-GGA.

Calculated values
- Total moment: 0.02 Bohr magnetons per cell

a = 3.3210 Å, b = 36.5711 Å, c = 3.1530 Å
α = 90.00°, β = 90.00°, γ = 90.00°
With the nearest neighbours (Å) after each atom.
Space group Cmcm (No. 63)
Inequivalent atoms, fractional coordinates:
Nb 0.0000 0.0367 0.2500 x4  12 B 2.45-2.51
Nb 0.0000 0.1082 0.7500 x4  6 B 2.37-2.40
Nb 0.0000 0.3422 0.7500 x4  1 B 2.54
Tl 0.0000 0.2138 0.7500 x4  4 Nb 3.07, 4 Tl 3.15-3.32
B 0.0000 0.4118 0.7500 x4  2 B 1.85
B 0.0000 0.4381 0.2500 x4  3 B 1.81-1.85
B 0.0000 0.4875 0.2500 x4  3 B 1.81-1.82

Number 1: E_tot -45.30 eV/cell. Number 2: E_tot -221.93 eV/cell.